A relaxed structure of BaBe2B. Source: the Alexandria database, functional GGA-PBE.

Results
The energy is -3.696 eV per atom.

Cell lengths 5.6946, 5.6946, 8.8262 Å; angles 90.00, 90.00, 90.00 degrees
Space group I4_1/amd (No. 141, origin choice 2)
Unique sites:
Ba 0.0000 0.2500 0.3750 (multiplicity 4)
Be 0.0000 0.0000 0.0000 (multiplicity 8)
B 0.0000 0.2500 0.8750 (multiplicity 4)